Record 1
The following is a DFT calculation (GGA-PBE) of a relaxed Tb4SbTe5 crystal.

Unit cell a=7.560 b=9.534 c=10.322 alpha=90.00 beta=90.00 gamma=90.00
Fractional positions:
1 Tb 0.570 0.265 0.000
2 Tb 0.430 0.765 0.500
3 Tb 0.430 0.235 0.500
4 Tb 0.014 0.000 0.230
5 Tb 0.014 0.000 0.770
6 Tb 0.570 0.735 0.000
7 Tb 0.986 0.500 0.730
8 Tb 0.986 0.500 0.270
9 Te 0.742 0.239 0.305
10 Te 0.258 0.739 0.195
11 Te 0.258 0.739 0.805
12 Te 0.742 0.239 0.695
13 Te 0.164 0.000 0.500
14 Te 0.258 0.261 0.805
15 Te 0.836 0.500 0.000
16 Te 0.742 0.761 0.695
17 Te 0.258 0.261 0.195
18 Te 0.742 0.761 0.305
19 Sb 0.235 0.500 0.500
20 Sb 0.765 0.000 0.000

Values from the calculation:
Uncorrected formation energy (eV/atom): -1.0785
M_tot (μB per atom): 0.00

Record 2
The following is a DFT calculation (GGA-PBE) of a relaxed Ho3Tl3Cu2 crystal.

Unit cell a=3.731 b=5.214 c=10.147 alpha=82.89 beta=79.46 gamma=89.99
Fractional positions:
1 Ho 0.500 0.500 0.000
2 Ho 0.637 0.087 0.728
3 Ho 0.363 0.913 0.272
4 Tl 0.000 0.000 0.000
5 Tl 0.163 0.585 0.676
6 Tl 0.837 0.415 0.324
7 Cu 0.757 0.837 0.485
8 Cu 0.243 0.163 0.515

Values from the calculation:
Raw total energy (eV per atom): -3.799
M_tot (μB per atom): 0.00

Record 3
The following is a DFT calculation (GGA-PBE) of a relaxed In2SbCl crystal.

Unit cell a=3.468 b=3.468 c=9.607 alpha=90.00 beta=90.00 gamma=90.00
Fractional positions:
1 In 0.000 0.000 0.981
2 In 0.500 0.500 0.243
3 Cl 0.500 0.500 0.813
4 Sb 0.000 0.000 0.463

Values from the calculation:
Excess energy over the best structure of this formula in the dataset (eV/f.u.): 0.68
Uncorrected formation energy (eV/atom): -0.2124
M_tot (μB per atom): 0.00

Record 4
The following is a DFT calculation (GGA-PBE) of a relaxed DyAl2 crystal.

Unit cell a=5.562 b=5.562 c=5.562 alpha=60.00 beta=60.00 gamma=60.00
Fractional positions:
1 Al 0.625 0.125 0.625
2 Al 0.625 0.625 0.125
3 Al 0.625 0.625 0.625
4 Al 0.125 0.625 0.625
5 Dy 0.250 0.250 0.250
6 Dy 0.000 0.000 0.000

Values from the calculation:
Raw total energy (eV per atom): -4.554
M_tot (μB per atom): 0.00

Record 5
The following is a DFT calculation (GGA-PBE) of a relaxed YZnOs2 crystal.

Unit cell a=4.248 b=4.248 c=9.643 alpha=77.27 beta=77.27 gamma=90.00
Fractional positions:
1 Os 0.375 0.494 0.750
2 Os 0.244 0.625 0.250
3 Os 0.875 0.756 0.750
4 Os 0.506 0.125 0.250
5 Y 0.750 0.250 0.500
6 Y 0.000 0.000 0.000
7 Zn 0.250 0.750 0.500
8 Zn 0.500 0.500 0.000

Values from the calculation:
Raw total energy (eV per atom): -7.199
M_tot (μB per atom): 0.00

Record 6
The following is a DFT calculation (GGA-PBE) of a relaxed InPtBr2 crystal.

Unit cell a=6.054 b=6.054 c=8.675 alpha=69.58 beta=69.58 gamma=90.00
Fractional positions:
1 Pt 0.000 0.000 0.000
2 Pt 0.750 0.250 0.500
3 Br 0.875 0.977 0.750
4 Br 0.727 0.125 0.250
5 Br 0.023 0.625 0.250
6 Br 0.375 0.273 0.750
7 In 0.500 0.500 0.000
8 In 0.250 0.750 0.500

Values from the calculation:
Excess energy over the best structure of this formula in the dataset (eV/f.u.): 1.56
Uncorrected formation energy (eV/atom): 0.0737
M_tot (μB per atom): 0.00

Number 1: DOS(E_F) 11.338 states/eV per cell. Number 2: DOS(E_F) 4.776 states/eV per cell. Number 3: DOS(E_F) 0.824 states/eV per cell. Number 4: DOS(E_F) 4.613 states/eV per cell. Number 5: DOS(E_F) 3.111 states/eV per cell. Number 6: DOS(E_F) 11.077 states/eV per cell.